1.
8
Lattice="-0.7012 -1.9489 4.1021 -5.4029 -2.4282 -2.0772 5.3395 -3.2402 -0.6268" Properties=species:S:1:pos:R:3 comment="TbYGa6, optimized geometry, DFT PBE-GGA" crystal_system=hexagonal formation_energy_ev_per_atom=-0.542 sg="P-6m2, No. 187" dos_ef_per_ev_fu=3.156 magmom_total_mub_per_fu=0.0 pbc="T T T"
Tb 0.5155 -3.8766 0.8203
Y 4.4426 -3.1724 -0.7479
Ga 1.8848 -1.3880 -0.3373
Ga 1.8492 -4.5675 -1.8540
Ga -1.1413 -2.7504 -1.5018
Ga -2.2656 -2.4198 1.0370
Ga -2.2934 -4.9108 -0.1513
Ga -4.6444 -3.4865 0.1236

---

2.
8
Lattice="3.6872 0.0036 0.0000 -1.8490 6.3611 0.0000 0.0000 0.0000 9.6491" Properties=species:S:1:pos:R:3 comment="Tb2YGa, optimized geometry, DFT PBE-GGA" crystal_system=monoclinic formation_energy_ev_per_atom=-0.282 sg="P2_1/m, No. 11" dos_ef_per_ev_fu=5.818 magmom_total_mub_per_fu=0.0 pbc="T T T"
Tb -0.0017 4.6322 5.2994
Tb 1.8399 1.7326 4.3497
Tb -0.0017 4.6322 9.1742
Tb 1.8399 1.7326 0.4749
Y 1.8373 5.6607 2.4123
Y 0.0008 0.7041 7.2368
Ga 1.8443 3.1089 7.2368
Ga -0.0061 3.2558 2.4123

---

3.
8
Lattice="-0.3852 2.1163 2.9853 -5.1037 -4.3049 0.1257 5.3276 -6.1684 5.0601" Properties=species:S:1:pos:R:3 comment="TbY2Ga, optimized geometry, DFT PBE-GGA" crystal_system=orthorhombic formation_energy_ev_per_atom=-0.297 sg="Cmcm, No. 63" dos_ef_per_ev_fu=5.341 magmom_total_mub_per_fu=0.6 pbc="T T T"
Tb -3.5649 -3.3681 4.1947
Tb 3.4037 -4.9889 3.9764
Y -0.9380 -5.7547 3.9590
Y 0.7768 -2.6023 4.2121
Y 1.2031 -8.2338 5.9927
Y -1.3644 -0.1232 2.1785
Ga 1.2056 -5.1598 6.0823
Ga -1.3669 -3.1972 2.0888

---

4.
4
Lattice="-1.2715 0.4135 -3.2806 -3.0098 -1.6002 0.9648 -3.4538 7.9037 2.3348" Properties=species:S:1:pos:R:3 comment="Tb2YGa, optimized geometry, DFT PBE-GGA" crystal_system=tetragonal formation_energy_ev_per_atom=-0.272 sg="P4/mmm, No. 123" dos_ef_per_ev_fu=4.782 magmom_total_mub_per_fu=0.0 pbc="T T T"
Y -3.8675 3.3585 0.0095
Tb -2.7363 6.2619 1.8498
Tb -0.7174 1.6418 0.4850
Ga -2.1406 -0.5934 -1.1579

---

5.
15
Lattice="-7.9956 -3.3261 0.2690 -3.7315 -1.6966 7.6330 -6.2810 4.0366 2.7438" Properties=species:S:1:pos:R:3 comment="Tb8YGa6, optimized geometry, DFT PBE-GGA" crystal_system=trigonal formation_energy_ev_per_atom=-0.369 sg="R-3, No. 148" dos_ef_per_ev_fu=19.632 magmom_total_mub_per_fu=0.0 pbc="T T T"
Tb -7.3689 -0.8659 2.7606
Tb -10.8147 -0.0969 2.8852
Tb -6.7283 1.5548 5.2526
Tb -7.8200 -3.3440 5.2681
Tb -10.1882 2.3579 5.3777
Tb -11.2799 -2.5409 5.3933
Tb -7.1934 -0.8892 7.7607
Tb -10.6392 -0.1202 7.8852
Y 0.0000 0.0000 0.0000
Ga -8.5257 1.9264 2.8138
Ga -9.6546 -2.8878 2.8288
Ga -5.5672 -1.2357 5.2010
Ga -12.4409 0.2497 5.4448
Ga -8.3536 1.9017 7.8170
Ga -9.4825 -2.9125 7.8321

---

6.
4
Lattice="4.7247 0.0000 0.0000 0.0000 4.7543 0.0000 0.0000 0.0000 4.7543" Properties=species:S:1:pos:R:3 comment="TbY2Ga, optimized geometry, DFT PBE-GGA" crystal_system=tetragonal formation_energy_ev_per_atom=-0.239 sg="P4/mmm, No. 123" dos_ef_per_ev_fu=5.393 magmom_total_mub_per_fu=0.6 pbc="T T T"
Y 0.0000 0.0000 2.3772
Y 0.0000 2.3772 0.0000
Tb 2.3624 2.3772 2.3772
Ga 2.3624 0.0000 0.0000

---

7.
10
Lattice="4.3376 0.0000 0.0000 0.0000 7.6900 0.0000 0.0000 0.0000 7.6900" Properties=species:S:1:pos:R:3 comment="Tb2YGa2, optimized geometry, DFT PBE-GGA" crystal_system=tetragonal formation_energy_ev_per_atom=-0.530 sg="P4/mbm, No. 127" dos_ef_per_ev_fu=5.925 magmom_total_mub_per_fu=0.0 pbc="T T T"
Tb 2.1688 1.3387 5.1838
Tb 2.1688 5.1838 6.3513
Tb 2.1688 6.3513 2.5063
Tb 2.1688 2.5063 1.3387
Y 0.0000 0.0000 0.0000
Y 0.0000 3.8450 3.8450
Ga 0.0000 2.9242 6.7692
Ga 0.0000 6.7692 4.7659
Ga 0.0000 4.7659 0.9209
Ga 0.0000 0.9209 2.9242

---

8.
12
Lattice="4.9806 0.0000 0.0000 0.0000 6.6065 0.0000 0.0000 0.0000 9.4812" Properties=species:S:1:pos:R:3 comment="Tb3YGa2, optimized geometry, DFT PBE-GGA" crystal_system=orthorhombic formation_energy_ev_per_atom=-0.430 sg="Pmc2_1, No. 26" dos_ef_per_ev_fu=5.722 magmom_total_mub_per_fu=0.0 pbc="T T T"
Tb 0.0000 3.0926 9.0106
Tb 0.0000 6.3958 0.4706
Tb 2.4903 4.4617 1.6889
Tb 2.4903 1.1584 7.7922
Tb 0.0000 2.1486 3.0587
Tb 0.0000 5.4518 6.4224
Y 2.4903 3.5118 5.2215
Y 2.4903 0.2085 4.2596
Ga 2.4903 4.6887 8.1322
Ga 2.4903 1.3854 1.3490
Ga 0.0000 1.9163 6.0884
Ga 0.0000 5.2195 3.3928

---

9.
7
Lattice="4.1169 0.0000 0.0000 -2.0585 6.0291 -0.2260 0.0000 -3.0731 8.0203" Properties=species:S:1:pos:R:3 comment="Tb3Y2Ga2, optimized geometry, DFT PBE-GGA" crystal_system=monoclinic formation_energy_ev_per_atom=-0.336 sg="C2/m, No. 12" dos_ef_per_ev_fu=6.913 magmom_total_mub_per_fu=0.0 pbc="T T T"
Tb 2.0585 0.0000 0.0000
Tb 2.0585 0.0920 3.4325
Tb 0.0000 2.8640 4.3618
Y 2.0585 3.6321 1.3825
Y 0.0000 -0.6761 6.4117
Ga 2.0585 1.4877 6.1931
Ga 0.0000 1.4683 1.6012

---

10.
10
Lattice="4.1534 0.0000 -0.5719 0.0000 4.1748 0.0000 -0.3244 0.0000 13.0125" Properties=species:S:1:pos:R:3 comment="TbYGa3, optimized geometry, DFT PBE-GGA" crystal_system=orthorhombic formation_energy_ev_per_atom=-0.650 sg="Cmcm, No. 63" dos_ef_per_ev_fu=3.218 magmom_total_mub_per_fu=0.2 pbc="T T T"
Tb 0.7145 3.1311 5.1895
Tb 3.1145 1.0437 7.2512
Y 3.5756 3.1311 10.6004
Y 0.2534 1.0437 1.8403
Ga 2.4937 3.1311 2.7427
Ga 1.3353 1.0437 9.6980
Ga 2.1607 3.1311 0.3239
Ga 1.6683 1.0437 12.1167
Ga 2.6901 1.0437 4.1691
Ga 1.1389 3.1311 8.2716

---

11.
4
Lattice="-0.8378 -3.0379 -1.5983 2.7654 0.3774 -2.1669 5.1390 -4.4591 5.7818" Properties=species:S:1:pos:R:3 comment="TbY2Ga, optimized geometry, DFT PBE-GGA" crystal_system=tetragonal formation_energy_ev_per_atom=-0.289 sg="P4/mmm, No. 123" dos_ef_per_ev_fu=4.253 magmom_total_mub_per_fu=0.0 pbc="T T T"
Y 4.0695 -3.5311 4.5786
Y 1.0695 -0.9280 1.2033
Tb 3.5333 -3.5598 1.0083
Ga 0.9638 -1.3303 -1.8826

---

12.
5
Lattice="-1.5694 -3.2652 -0.5194 1.1408 0.3748 -5.8027 5.9002 -1.1761 2.4596" Properties=species:S:1:pos:R:3 comment="Tb2YGa2, optimized geometry, DFT PBE-GGA" crystal_system=monoclinic formation_energy_ev_per_atom=-0.381 sg="C2/m, No. 12" dos_ef_per_ev_fu=6.753 magmom_total_mub_per_fu=0.0 pbc="T T T"
Tb 4.2039 -1.8786 -0.8922
Tb 1.2678 -2.1879 -2.9704
Y 0.0000 0.0000 0.0000
Ga 1.4080 -2.7242 -0.0224
Ga 4.0637 -1.3423 -3.8401

---

13.
12
Lattice="-0.9967 0.3840 -4.1479 4.0976 -0.6773 -1.0473 -2.2489 -12.6328 -0.6293" Properties=species:S:1:pos:R:3 comment="TbY2Ga9, optimized geometry, DFT PBE-GGA" crystal_system=tetragonal formation_energy_ev_per_atom=-0.538 sg="P4/mmm, No. 123" dos_ef_per_ev_fu=4.527 magmom_total_mub_per_fu=0.0 pbc="T T T"
Tb 0.0000 0.0000 0.0000
Y -0.7499 -4.2124 -0.2098
Y -1.4990 -8.4204 -0.4194
Ga 1.5504 -0.1466 -2.5976
Ga 0.8006 -4.3586 -2.8074
Ga 0.0513 -8.5675 -3.0170
Ga -0.8734 -1.9150 -2.1789
Ga -1.6228 -6.1244 -2.3886
Ga -2.3722 -10.3338 -2.5982
Ga 1.6737 -2.4457 -0.6286
Ga 0.9243 -6.6551 -0.8383
Ga 0.1749 -10.8644 -1.0479

---

14.
4
Lattice="-1.5316 2.1783 2.3066 0.6018 -0.3814 3.4502 8.4416 7.5546 1.1615" Properties=species:S:1:pos:R:3 comment="TbY2Ga, optimized geometry, DFT PBE-GGA" crystal_system=trigonal formation_energy_ev_per_atom=-0.011 sg="R-3m, No. 166" dos_ef_per_ev_fu=4.833 magmom_total_mub_per_fu=1.1 pbc="T T T"
Y 5.7589 5.4224 1.3937
Y 1.7528 3.9290 5.5246
Tb 0.0000 0.0000 0.0000
Ga 3.7559 4.6757 3.4592

---

15.
12
Lattice="4.2839 0.0000 0.0000 0.0000 4.2839 0.0000 0.0000 0.0000 12.8549" Properties=species:S:1:pos:R:3 comment="Tb2YGa9, optimized geometry, DFT PBE-GGA" crystal_system=tetragonal formation_energy_ev_per_atom=-0.540 sg="P4/mmm, No. 123" dos_ef_per_ev_fu=4.441 magmom_total_mub_per_fu=0.0 pbc="T T T"
Tb 0.0000 0.0000 4.2842
Tb 0.0000 0.0000 8.5707
Y 0.0000 0.0000 0.0000
Ga 2.1419 2.1419 0.0000
Ga 2.1419 2.1419 4.2873
Ga 2.1419 2.1419 8.5676
Ga 2.1419 0.0000 2.1426
Ga 2.1419 0.0000 6.4275
Ga 2.1419 0.0000 10.7123
Ga 0.0000 2.1419 2.1426
Ga 0.0000 2.1419 6.4275
Ga 0.0000 2.1419 10.7123

---

16.
10
Lattice="4.3308 0.0000 0.0000 0.0000 7.6907 -0.0244 0.0000 0.0433 7.6906" Properties=species:S:1:pos:R:3 comment="Tb3Y3Ga4, optimized geometry, DFT PBE-GGA" crystal_system=orthorhombic formation_energy_ev_per_atom=-0.535 sg="Amm2, No. 38" dos_ef_per_ev_fu=11.864 magmom_total_mub_per_fu=0.0 pbc="T T T"
Tb 2.1654 6.3625 1.3155
Tb 2.1654 2.5174 2.5010
Tb 2.1654 5.2109 5.1709
Y 0.0000 3.8493 -0.0064
Y 0.0000 7.7065 3.8171
Y 2.1654 1.3808 6.3413
Ga 0.0000 4.7805 2.9115
Ga 0.0000 2.9469 4.7614
Ga 0.0000 6.8113 6.7468
Ga 0.0000 0.9275 0.9146

---

17.
10
Lattice="4.3345 0.0000 0.0000 0.0000 7.6778 0.0000 0.0000 0.0000 7.6778" Properties=species:S:1:pos:R:3 comment="TbY2Ga2, optimized geometry, DFT PBE-GGA" crystal_system=tetragonal formation_energy_ev_per_atom=-0.534 sg="P4/mbm, No. 127" dos_ef_per_ev_fu=6.225 magmom_total_mub_per_fu=0.0 pbc="T T T"
Tb 0.0000 0.0000 0.0000
Tb 0.0000 3.8389 3.8389
Y 2.1673 1.3409 5.1798
Y 2.1673 5.1798 6.3369
Y 2.1673 6.3369 2.4980
Y 2.1673 2.4980 1.3409
Ga 0.0000 2.9215 6.7604
Ga 0.0000 6.7604 4.7563
Ga 0.0000 4.7563 0.9174
Ga 0.0000 0.9174 2.9215

---

18.
4
Lattice="-0.8865 -3.4631 0.6644 1.5079 -2.6697 -1.9543 7.8029 -2.6940 6.3182" Properties=species:S:1:pos:R:3 comment="TbY2Ga, optimized geometry, DFT PBE-GGA" crystal_system=trigonal formation_energy_ev_per_atom=-0.209 sg="R3m, No. 160" dos_ef_per_ev_fu=3.786 magmom_total_mub_per_fu=0.7 pbc="T T T"
Tb 4.2038 -4.4127 2.5068
Y 6.1929 -2.5563 4.8878
Y 1.8177 -2.1820 1.0009
Ga 0.4220 -4.0892 -0.8530

---

19.
14
Lattice="4.7994 0.0000 0.0000 0.0000 9.1744 0.0000 0.0000 -4.5872 7.9452" Properties=species:S:1:pos:R:3 comment="Tb3YGa3, optimized geometry, DFT PBE-GGA" crystal_system=hexagonal formation_energy_ev_per_atom=-0.429 sg="P6_3/m, No. 176" dos_ef_per_ev_fu=4.785 magmom_total_mub_per_fu=0.0 pbc="T T T"
Tb 3.5996 3.5599 5.9142
Tb 3.5996 2.2726 0.1259
Tb 3.5996 7.9291 1.9052
Tb 1.1999 1.0273 2.0310
Tb 1.1999 2.3146 7.8194
Tb 1.1999 -3.3419 6.0401
Y 1.1999 4.5872 2.6484
Y 3.5996 0.0000 5.2968
Ga 1.1999 2.2578 4.8287
Ga 1.1999 -0.7235 7.4862
Ga 1.1999 -1.5343 3.5756
Ga 3.5996 2.3294 3.1166
Ga 3.5996 5.3106 0.4590
Ga 3.5996 6.1215 4.3696

---

20.
4
Lattice="-4.0349 1.4278 2.7154 -4.3857 -2.4967 -0.4731 -1.6715 -2.9265 3.7860" Properties=species:S:1:pos:R:3 comment="TbYZnGa, optimized geometry, DFT PBE-GGA" crystal_system=cubic formation_energy_ev_per_atom=-0.492 sg="F-43m, No. 216" dos_ef_per_ev_fu=3.170 magmom_total_mub_per_fu=0.0 pbc="T T T"
Y 0.0000 0.0000 0.0000
Zn -7.5690 -2.9966 4.5212
Tb -5.0460 -1.9977 3.0141
Ga -2.5230 -0.9989 1.5071